(1)
K2NbSN | the Alexandria database | GGA-PBE | relaxed; mass density = 2.18 g cm⁻³; magnetic moment = 2.08 μB/cell; formation energy without anion corrections = 0.411 eV per atom
1.0
-1.949 -4.229 4.532
3.742 -0.736 0.922
-0.144 4.780 4.399
S Nb N K
1 1 1 2
direct
0.500 0.500 0.500
0.000 0.000 0.000
0.000 0.500 0.000
0.500 0.000 0.000
0.000 0.000 0.500


(2)
KNbSN2 | the Alexandria database | GGA-PBE | relaxed; mass density = 3.63 g cm⁻³; magnetic moment = 1.99 μB/cell; formation energy without anion corrections = -0.112 eV per atom
1.0
4.199 0.000 0.000
0.000 4.199 0.000
0.000 0.000 4.989
N K S Nb
2 1 1 1
direct
0.000 0.500 0.000
0.500 0.000 0.000
0.500 0.500 0.500
0.000 0.000 0.500
0.000 0.000 0.000


(3)
KNbS2N | the Alexandria database | GGA-PBE | relaxed; mass density = 3.44 g cm⁻³; magnetic moment = 1.07 μB/cell; formation energy without anion corrections = -0.553 eV per atom
1.0
4.978 0.000 0.000
0.000 4.978 0.000
0.000 0.000 4.090
K S N Nb
1 2 1 1
direct
0.500 0.500 0.500
0.500 0.000 0.000
0.000 0.500 0.000
0.000 0.000 0.500
0.000 0.000 0.000


(4)
KNbSe2N | the Alexandria database | GGA-PBE | relaxed; mass density = 3.60 g cm⁻³; magnetic moment = 4.93 μB/cell; formation energy without anion corrections = 1.861 eV per atom
1.0
-1.341 -5.424 0.008
5.027 -1.240 2.099
-1.638 0.411 4.167
Se K N Nb
2 1 1 1
direct
0.500 0.000 0.000
0.000 0.500 0.000
0.000 0.000 0.000
0.000 0.000 0.500
0.500 0.500 0.500


(5)
KNbSe2N | the Alexandria database | GGA-PBE | relaxed; mass density = 4.49 g cm⁻³; magnetic moment = 0.91 μB/cell; formation energy without anion corrections = -0.462 eV per atom
1.0
5.271 0.000 0.000
0.000 5.271 0.000
0.000 0.000 4.042
Se Nb K N
2 1 1 1
direct
0.500 0.000 0.000
0.000 0.500 0.000
0.000 0.000 0.000
0.500 0.500 0.500
0.000 0.000 0.500


(6)
KUNbN4 | the Alexandria database | GGA-PBE | relaxed; mass density = 5.30 g cm⁻³; magnetic moment = 0.00 μB/cell; formation energy without anion corrections = -0.747 eV per atom
1.0
-3.439 3.561 -3.485
-2.958 -4.704 -1.888
-3.008 -1.144 7.562
N Nb U K
8 2 2 2
direct
0.990 0.009 0.658
0.484 0.750 0.226
0.516 0.250 0.774
0.508 0.250 0.449
0.010 0.509 0.342
0.492 0.750 0.551
0.010 0.991 0.342
0.990 0.491 0.658
0.770 0.250 0.674
0.230 0.750 0.326
0.791 0.750 0.459
0.209 0.250 0.541
0.575 0.250 0.135
0.425 0.750 0.865


(7)
KYNbN2 | the Alexandria database | GGA-PBE | relaxed; mass density = 3.70 g cm⁻³; magnetic moment = 2.78 μB/cell; formation energy without anion corrections = 1.650 eV per atom
1.0
4.553 0.000 0.000
0.000 5.395 0.000
0.000 0.000 4.553
N Y K Nb
2 1 1 1
direct
0.000 0.000 0.500
0.500 0.000 0.000
0.000 0.000 0.000
0.000 0.500 0.000
0.500 0.500 0.500


(8)
KZrNbN2 | the Alexandria database | GGA-PBE | relaxed; mass density = 3.97 g cm⁻³; magnetic moment = 3.30 μB/cell; formation energy without anion corrections = 1.558 eV per atom
1.0
-1.144 -3.966 -1.357
2.166 1.090 -5.010
3.836 -1.558 1.319
N Zr K Nb
2 1 1 1
direct
0.500 0.000 0.000
0.000 0.000 0.500
0.000 0.000 0.000
0.000 0.500 0.000
0.500 0.500 0.500


(9)
KNd2N | the Alexandria database | GGA-PBE | relaxed; mass density = 4.50 g cm⁻³; magnetic moment = 0.00 μB/cell; formation energy without anion corrections = -0.496 eV per atom
1.0
3.679 0.000 0.000
1.839 3.186 0.000
1.839 1.062 10.743
Nd N K
2 1 1
direct
0.875 0.875 0.374
0.125 0.125 0.626
0.500 0.500 0.500
0.000 0.000 0.000


(10)
KNdPN2 | the Alexandria database | GGA-PBE | relaxed; mass density = 3.63 g cm⁻³; magnetic moment = 1.86 μB/cell; formation energy without anion corrections = -0.239 eV per atom
1.0
-3.892 0.919 -2.866
-1.363 -6.007 -0.074
-4.164 0.886 5.939
N Nd K P
4 2 2 2
direct
0.263 0.182 0.000
0.263 0.818 0.500
0.737 0.818 0.000
0.737 0.182 0.500
0.500 0.000 0.750
0.500 0.000 0.250
0.999 0.500 0.250
0.001 0.500 0.750
0.000 0.000 0.000
0.000 0.000 0.500


(11)
KNd2P2N6 | the Alexandria database | GGA-PBE | relaxed; mass density = 3.67 g cm⁻³; magnetic moment = 0.94 μB/cell; formation energy without anion corrections = -0.660 eV per atom
1.0
6.624 0.001 0.006
3.307 5.621 -0.102
0.003 -3.229 5.810
N Nd K P
6 2 1 2
direct
0.071 0.860 0.628
0.008 0.590 0.826
0.992 0.410 0.174
0.402 0.593 0.827
0.598 0.407 0.173
0.929 0.140 0.372
0.178 0.644 0.195
0.822 0.356 0.805
0.500 0.000 0.500
0.159 0.684 0.752
0.841 0.316 0.248


(12)
KNd2ReN4 | the Alexandria database | GGA-PBE | relaxed; mass density = 6.61 g cm⁻³; magnetic moment = 0.09 μB/cell; formation energy without anion corrections = -0.709 eV per atom
1.0
-3.172 0.885 -1.219
-0.929 -1.186 6.613
2.385 11.967 2.481
N Nd Re K
8 4 2 2
direct
0.257 0.514 0.383
0.000 0.000 0.000
0.000 0.000 0.500
0.381 0.761 0.750
0.619 0.239 0.250
0.743 0.486 0.883
0.743 0.486 0.617
0.257 0.514 0.117
0.627 0.254 0.037
0.373 0.746 0.963
0.627 0.254 0.463
0.373 0.746 0.537
0.193 0.386 0.250
0.807 0.614 0.750
0.072 0.143 0.750
0.928 0.857 0.250